Record 1
First-principles (PBE) data for a relaxed Sr2ScAl crystal, as listed in Alexandria.

For the raw total energy, the calculation gives -3.18 eV/atom. The calculation puts the formation energy at 0.179 eV per atom. The spin magnetization comes out at 0.000 μB per formula unit.

The structure belongs to space group I4/mmm (No. 139); the cell edges are 5.066, 5.066 and 9.885 Å and the angles 90.00°, 90.00° and 90.00°. The inequivalent atoms are Sr at (0.000, 0.500, 0.250), Sc at (0.000, 0.000, 0.000) and Al at (0.000, 0.000, 0.500).

Record 2
First-principles (PBE) data for a relaxed ZrAlIrAu crystal, as listed in Alexandria.

For the raw total energy, the calculation gives -6.71 eV/atom. The calculation puts the formation energy at -0.604 eV per atom. The spin magnetization comes out at 0.000 μB per formula unit.

The structure belongs to space group F-43m (No. 216); the cell edges are 6.525, 6.525 and 6.525 Å and the angles 90.00°, 90.00° and 90.00°. The inequivalent atoms are Zr at (0.000, 0.000, 0.000), Al at (0.000, 0.000, 0.500), Ir at (0.250, 0.250, 0.250) and Au at (0.250, 0.250, 0.750).

Record 3
First-principles (PBE) data for a relaxed Nd2Ho3Tl6 crystal, as listed in Alexandria.

For the raw total energy, the calculation gives -3.45 eV/atom. The calculation puts the formation energy at -0.042 eV per atom. The spin magnetization comes out at 0.000 μB per formula unit.

The structure belongs to space group I4/mmm (No. 139); the cell edges are 4.564, 4.564 and 32.974 Å and the angles 90.00°, 90.00° and 90.00°. The inequivalent atoms are Nd at (0.000, 0.000, 0.173), Ho at (0.000, 0.000, 0.367), Ho at (0.000, 0.000, 0.500), Tl at (0.000, 0.000, 0.274) and Tl at (0.000, 0.500, 0.069).